1.
Hg2WSe | GGA-PBE | relaxed Values from VASP.

Quantum ESPRESSO input file:
```
&SYSTEM
  ibrav = 0, nat = 4, ntyp = 3
/
ATOMIC_SPECIES
Hg 200.59 Hg.upf
W 183.84 W.upf
Se 78.96 Se.upf
ATOMIC_POSITIONS crystal
Hg 0.000 0.000 0.000
Hg 0.250 0.250 0.250
W 0.500 0.500 0.500
Se 0.750 0.750 0.750
CELL_PARAMETERS angstrom
0.000 3.407 3.407
3.407 0.000 3.407
3.407 3.407 0.000
```

Computed properties:
Density of states at the Fermi level in states/eV/cell: 3.3
Raw formation energy in eV per atom: 0.99
Space-group type: F-43m (216)

=====

2.
PIr5 | GGA-PBE | relaxed Values from VASP.

Quantum ESPRESSO input file:
```
&SYSTEM
  ibrav = 0, nat = 6, ntyp = 2
/
ATOMIC_SPECIES
P 30.97 P.upf
Ir 192.22 Ir.upf
ATOMIC_POSITIONS crystal
P 0.000 0.000 0.000
Ir 0.375 0.375 0.375
Ir 0.375 0.375 0.874
Ir 0.375 0.874 0.375
Ir 0.750 0.750 0.750
Ir 0.874 0.375 0.375
CELL_PARAMETERS angstrom
0.000 3.642 3.642
3.642 0.000 3.642
3.642 3.642 0.000
```

Computed properties:
Energy above the lowest structure with this stoichiometry in kJ/mol of atoms: 83.3
Density of states at the Fermi level in states/eV/cell: 12.7
ΔH_f (0 K) in eV/atom: 0.9316
Space-group type: F-43m (216)

=====

3.
Cd2AgSe | GGA-PBE | relaxed Values from VASP.

Quantum ESPRESSO input file:
```
&SYSTEM
  ibrav = 0, nat = 4, ntyp = 3
/
ATOMIC_SPECIES
Cd 112.41 Cd.upf
Ag 107.87 Ag.upf
Se 78.96 Se.upf
ATOMIC_POSITIONS crystal
Cd 0.000 0.000 0.247
Cd 0.000 0.000 0.753
Ag 0.500 0.500 0.000
Se 0.500 0.500 0.500
CELL_PARAMETERS angstrom
3.841 0.000 0.000
0.000 3.841 0.000
0.000 0.000 5.819
```

Computed properties:
Density of states at the Fermi level in states/eV/cell: 1.6
Raw formation energy in eV per atom: -0.05
Space-group type: P4/mmm (123)

=====

4.
La7Pm4Tm | GGA-PBE | relaxed Values from VASP.

Quantum ESPRESSO input file:
```
&SYSTEM
  ibrav = 0, nat = 12, ntyp = 3
/
ATOMIC_SPECIES
La 138.91 La.upf
Pm 145.00 Pm.upf
Tm 168.93 Tm.upf
ATOMIC_POSITIONS crystal
La 0.000 0.000 0.000
La 0.293 0.293 0.783
La 0.295 0.295 0.126
La 0.419 0.419 0.569
La 0.581 0.581 0.431
La 0.705 0.705 0.874
La 0.707 0.707 0.217
Pm 0.073 0.073 0.700
Pm 0.173 0.173 0.395
Pm 0.827 0.827 0.605
Pm 0.927 0.927 0.300
Tm 0.500 0.500 0.000
CELL_PARAMETERS angstrom
8.324 -3.073 0.000
8.324 3.073 0.000
-4.214 0.000 8.505
```

Computed properties:
Energy above the lowest structure with this stoichiometry in kJ/mol of atoms: 17.9
Density of states at the Fermi level in states/eV/cell: 20.5
ΔH_f (0 K) in eV/atom: 0.2037
Space-group type: C2/m (12)

=====

5.
ErGaAgIr | GGA-PBE | relaxed Values from VASP.

Quantum ESPRESSO input file:
```
&SYSTEM
  ibrav = 0, nat = 4, ntyp = 4
/
ATOMIC_SPECIES
Er 167.26 Er.upf
Ga 69.72 Ga.upf
Ag 107.87 Ag.upf
Ir 192.22 Ir.upf
ATOMIC_POSITIONS crystal
Er 0.000 0.000 0.000
Ga 0.500 0.500 0.500
Ag 0.750 0.750 0.750
Ir 0.250 0.250 0.250
CELL_PARAMETERS angstrom
0.000 3.313 3.313
3.313 0.000 3.313
3.313 3.313 0.000
```

Computed properties:
Density of states at the Fermi level in states/eV/cell: 3.1
ΔH_f (0 K) in eV/atom: -0.4091
Space-group type: F-43m (216)

=====

6.
LiScP2 | GGA-PBE | relaxed Values from VASP.

Quantum ESPRESSO input file:
```
&SYSTEM
  ibrav = 0, nat = 8, ntyp = 3
/
ATOMIC_SPECIES
Li 6.94 Li.upf
Sc 44.96 Sc.upf
P 30.97 P.upf
ATOMIC_POSITIONS crystal
Li 0.000 0.000 0.000
Li 0.750 0.250 0.500
Sc 0.250 0.750 0.500
Sc 0.500 0.500 0.000
P 0.104 0.625 0.979
P 0.375 0.354 0.479
P 0.646 0.125 0.021
P 0.875 0.896 0.521
CELL_PARAMETERS angstrom
-3.455 3.455 2.719
3.455 -3.455 2.719
3.455 3.455 -2.719
```

Computed properties:
Energy above the lowest structure with this stoichiometry in kJ/mol of atoms: 21.6
Density of states at the Fermi level in states/eV/cell: 0.7
ΔH_f (0 K) in eV/atom: -0.5988
Space-group type: I-42d (122)

=====

7.
CsSrNb2W | GGA-PBE | relaxed Values from VASP.

Quantum ESPRESSO input file:
```
&SYSTEM
  ibrav = 0, nat = 5, ntyp = 4
/
ATOMIC_SPECIES
Cs 132.91 Cs.upf
Sr 87.62 Sr.upf
Nb 92.91 Nb.upf
W 183.84 W.upf
ATOMIC_POSITIONS crystal
Cs 0.000 0.000 0.000
Sr 0.500 0.500 0.000
Nb 0.000 0.500 0.500
Nb 0.500 0.000 0.500
W 0.000 0.000 0.500
CELL_PARAMETERS angstrom
5.039 0.000 0.000
0.000 5.039 0.000
0.000 0.000 6.243
```

Computed properties:
Density of states at the Fermi level in states/eV/cell: 6.4
ΔH_f (0 K) in eV/atom: 1.5041
Space-group type: P4/mmm (123)

=====

8.
Ba2FeReN | GGA-PBE | relaxed Values from VASP.

Quantum ESPRESSO input file:
```
&SYSTEM
  ibrav = 0, nat = 5, ntyp = 4
/
ATOMIC_SPECIES
Ba 137.33 Ba.upf
Fe 55.84 Fe.upf
Re 186.21 Re.upf
N 14.01 N.upf
ATOMIC_POSITIONS crystal
Ba 0.000 0.500 0.000
Ba 0.500 0.000 0.000
Fe 0.000 0.000 0.500
Re 0.500 0.500 0.500
N 0.500 0.500 0.000
CELL_PARAMETERS angstrom
5.799 0.000 0.000
0.000 5.799 0.000
0.000 0.000 3.863
```

Computed properties:
Density of states at the Fermi level in states/eV/cell: 7.5
Raw formation energy in eV per atom: 0.39
Space-group type: P4/mmm (123)

=====

9.
LiB2Te | GGA-PBE | relaxed Values from VASP.

Quantum ESPRESSO input file:
```
&SYSTEM
  ibrav = 0, nat = 8, ntyp = 3
/
ATOMIC_SPECIES
Li 6.94 Li.upf
B 10.81 B.upf
Te 127.60 Te.upf
ATOMIC_POSITIONS crystal
Li 0.000 0.000 0.000
Li 0.750 0.250 0.500
B 0.134 0.625 0.009
B 0.375 0.384 0.509
B 0.616 0.125 0.991
B 0.875 0.866 0.491
Te 0.250 0.750 0.500
Te 0.500 0.500 0.000
CELL_PARAMETERS angstrom
-2.861 2.861 4.409
2.861 -2.861 4.409
2.861 2.861 -4.409
```

Computed properties:
Density of states at the Fermi level in states/eV/cell: 6.7
Raw formation energy in eV per atom: 1.23
Space-group type: I-42d (122)

=====

10.
LiPaTcNi | GGA-PBE | relaxed Values from VASP.

Quantum ESPRESSO input file:
```
&SYSTEM
  ibrav = 0, nat = 4, ntyp = 4
/
ATOMIC_SPECIES
Li 6.94 Li.upf
Pa 231.04 Pa.upf
Tc 98.00 Tc.upf
Ni 58.69 Ni.upf
ATOMIC_POSITIONS crystal
Li 0.000 0.000 0.000
Pa 0.500 0.500 0.500
Tc 0.750 0.750 0.750
Ni 0.250 0.250 0.250
CELL_PARAMETERS angstrom
0.000 3.170 3.170
3.170 0.000 3.170
3.170 3.170 0.000
```

Computed properties:
Density of states at the Fermi level in states/eV/cell: 2.6
ΔH_f (0 K) in eV/atom: -0.0705
Space-group type: F-43m (216)

=====

11.
MnAgBr5 | GGA-PBE | relaxed Values from VASP.

Quantum ESPRESSO input file:
```
&SYSTEM
  ibrav = 0, nat = 14, ntyp = 3
/
ATOMIC_SPECIES
Mn 54.94 Mn.upf
Ag 107.87 Ag.upf
Br 79.90 Br.upf
ATOMIC_POSITIONS crystal
Mn 0.000 0.500 0.000
Mn 0.500 0.000 0.500
Ag 0.036 0.964 0.750
Ag 0.964 0.036 0.250
Br 0.159 0.626 0.854
Br 0.233 0.246 0.502
Br 0.246 0.233 0.002
Br 0.255 0.745 0.250
Br 0.374 0.841 0.646
Br 0.626 0.159 0.354
Br 0.745 0.255 0.750
Br 0.754 0.767 0.998
Br 0.767 0.754 0.498
Br 0.841 0.374 0.146
CELL_PARAMETERS angstrom
5.021 -4.750 0.000
5.021 4.750 0.000
-4.193 0.000 9.068
```

Computed properties:
Density of states at the Fermi level in states/eV/cell: 8.3
Raw formation energy in eV per atom: -0.43
Space-group type: C2/c (15)

=====

12.
AcNpRu2 | GGA-PBE | relaxed Values from VASP.

Quantum ESPRESSO input file:
```
&SYSTEM
  ibrav = 0, nat = 4, ntyp = 3
/
ATOMIC_SPECIES
Ac 227.00 Ac.upf
Np 237.00 Np.upf
Ru 101.07 Ru.upf
ATOMIC_POSITIONS crystal
Ac 0.000 0.000 0.000
Np 0.500 0.500 0.500
Ru 0.250 0.250 0.250
Ru 0.750 0.750 0.750
CELL_PARAMETERS angstrom
0.000 3.522 3.522
3.522 0.000 3.522
3.522 3.522 0.000
```

Computed properties:
Energy above the lowest structure with this stoichiometry in kJ/mol of atoms: 36.2
Density of states at the Fermi level in states/eV/cell: 6.3
ΔH_f (0 K) in eV/atom: 0.2036
Space-group type: Fm-3m (225)